1.
The following is a DFT calculation (PBE-GGA) of a relaxed Cs8TlHg2 crystal.

Output
Space-group type ... No. 8
Total magnetization ... 0.00 μB per cell
Final energy ... -0.97 eV per atom

```
data_Cs8TlHg2
_chemical_formula_sum 'Cs8 Tl1 Hg2'
_space_group_name_H-M_alt 'P 1'
_space_group_IT_number 1
_space_group_name_Hall 'P 1'
_cell_length_a 8.674
_cell_length_b 10.523
_cell_length_c 10.523
_cell_angle_alpha 112.12
_cell_angle_beta 101.24
_cell_angle_gamma 101.24
loop_
_atom_site_label
_atom_site_fract_x
_atom_site_fract_y
_atom_site_fract_z
Hg1 0.497 0.692 0.328
Cs1 0.582 0.080 0.341
Cs2 0.802 0.661 0.661
Cs3 0.362 0.925 0.657
Cs4 0.582 0.341 0.080
Cs5 0.971 0.795 0.204
Cs6 0.971 0.204 0.795
Hg2 0.497 0.328 0.692
Cs7 0.362 0.657 0.925
Cs8 0.182 0.353 0.353
Tl1 0.191 0.999 0.999
```

***

2.
The following is a DFT calculation (PBE-GGA) of a relaxed Cs2TlHg7 crystal.

Output
Space-group type ... No. 115
Total magnetization ... 0.00 μB per cell
Final energy ... -0.80 eV per atom

```
data_Cs2TlHg7
_chemical_formula_sum 'Cs2 Tl1 Hg7'
_space_group_name_H-M_alt 'P 1'
_space_group_IT_number 1
_space_group_name_Hall 'P 1'
_cell_length_a 5.398
_cell_length_b 5.398
_cell_length_c 12.394
_cell_angle_alpha 90.00
_cell_angle_beta 90.00
_cell_angle_gamma 90.00
loop_
_atom_site_label
_atom_site_fract_x
_atom_site_fract_y
_atom_site_fract_z
Hg1 0.500 0.000 0.125
Hg2 0.000 0.000 0.500
Cs1 0.500 0.000 0.743
Hg3 0.000 0.000 0.000
Hg4 0.500 0.500 0.500
Cs2 0.000 0.500 0.257
Hg5 0.000 0.500 0.628
Hg6 0.000 0.500 0.875
Hg7 0.500 0.000 0.372
Tl1 0.500 0.500 0.000
```

***

3.
The following is a DFT calculation (PBE-GGA) of a relaxed Cs3Tl2Hg9 crystal.

Output
Space-group type ... No. 71
Total magnetization ... 0.00 μB per cell
Final energy ... -0.91 eV per atom

```
data_Cs3Tl2Hg9
_chemical_formula_sum 'Cs3 Tl2 Hg9'
_space_group_name_H-M_alt 'P 1'
_space_group_IT_number 1
_space_group_name_Hall 'P 1'
_cell_length_a 5.608
_cell_length_b 10.207
_cell_length_c 10.207
_cell_angle_alpha 63.85
_cell_angle_beta 74.05
_cell_angle_gamma 74.05
loop_
_atom_site_label
_atom_site_fract_x
_atom_site_fract_y
_atom_site_fract_z
Tl1 0.500 0.667 0.333
Hg1 0.340 0.311 0.008
Hg2 0.860 0.437 0.844
Hg3 0.140 0.156 0.563
Cs1 0.000 0.000 0.000
Hg4 0.140 0.563 0.156
Cs2 0.718 0.282 0.282
Hg5 0.000 0.500 0.500
Cs3 0.282 0.718 0.718
Hg6 0.340 0.008 0.311
Hg7 0.660 0.689 0.992
Hg8 0.860 0.844 0.437
Hg9 0.660 0.992 0.689
Tl2 0.500 0.333 0.667
```

***

4.
The following is a DFT calculation (PBE-GGA) of a relaxed CsTl8Hg2 crystal.

Output
Space-group type ... No. 123
Total magnetization ... 0.00 μB per cell
Final energy ... -1.75 eV per atom
Energy above the lowest structure with this stoichiometry ... 124 meV per atom

```
data_CsTl8Hg2
_chemical_formula_sum 'Cs1 Tl8 Hg2'
_space_group_name_H-M_alt 'P 1'
_space_group_IT_number 1
_space_group_name_Hall 'P 1'
_cell_length_a 8.087
_cell_length_b 8.087
_cell_length_c 6.451
_cell_angle_alpha 90.00
_cell_angle_beta 90.00
_cell_angle_gamma 90.00
loop_
_atom_site_label
_atom_site_fract_x
_atom_site_fract_y
_atom_site_fract_z
Tl1 0.200 0.200 0.749
Tl2 0.800 0.800 0.251
Tl3 0.800 0.200 0.251
Tl4 0.800 0.800 0.749
Cs1 0.500 0.500 0.500
Tl5 0.200 0.800 0.251
Hg1 0.500 0.000 0.000
Tl6 0.200 0.200 0.251
Hg2 0.000 0.500 0.000
Tl7 0.800 0.200 0.749
Tl8 0.200 0.800 0.749
```

***

5.
The following is a DFT calculation (PBE-GGA) of a relaxed CsTlHg2 crystal.

Output
Space-group type ... No. 123
Total magnetization ... 0.00 μB per cell
Final energy ... -1.09 eV per atom
Energy above the lowest structure with this stoichiometry ... 21 meV per atom

```
data_CsTlHg2
_chemical_formula_sum 'Cs1 Tl1 Hg2'
_space_group_name_H-M_alt 'P 1'
_space_group_IT_number 1
_space_group_name_Hall 'P 1'
_cell_length_a 4.268
_cell_length_b 4.268
_cell_length_c 8.115
_cell_angle_alpha 90.00
_cell_angle_beta 90.00
_cell_angle_gamma 90.00
loop_
_atom_site_label
_atom_site_fract_x
_atom_site_fract_y
_atom_site_fract_z
Tl1 0.500 0.500 0.000
Cs1 0.500 0.500 0.500
Hg1 0.000 0.000 0.196
Hg2 0.000 0.000 0.804
```

***

6.
The following is a DFT calculation (PBE-GGA) of a relaxed Cs2TlHg4 crystal.

Output
Space-group type ... No. 42
Total magnetization ... 0.00 μB per cell
Final energy ... -0.91 eV per atom
Energy above the lowest structure with this stoichiometry ... 0 meV per atom

```
data_Cs2TlHg4
_chemical_formula_sum 'Cs2 Tl1 Hg4'
_space_group_name_H-M_alt 'P 1'
_space_group_IT_number 1
_space_group_name_Hall 'P 1'
_cell_length_a 7.841
_cell_length_b 7.841
_cell_length_c 7.782
_cell_angle_alpha 122.42
_cell_angle_beta 122.42
_cell_angle_gamma 86.38
loop_
_atom_site_label
_atom_site_fract_x
_atom_site_fract_y
_atom_site_fract_z
Hg1 0.702 0.702 0.405
Cs1 0.250 0.750 0.500
Hg2 0.708 0.292 0.000
Hg3 0.298 0.298 0.595
Tl1 0.000 0.000 0.000
Hg4 0.292 0.708 0.000
Cs2 0.750 0.250 0.500
```

***

7.
The following is a DFT calculation (PBE-GGA) of a relaxed CsTl3Hg6 crystal.

Output
Space-group type ... No. 14
Total magnetization ... 0.00 μB per cell
Final energy ... -1.07 eV per atom

```
data_CsTl3Hg6
_chemical_formula_sum 'Cs2 Tl6 Hg12'
_space_group_name_H-M_alt 'P 1'
_space_group_IT_number 1
_space_group_name_Hall 'P 1'
_cell_length_a 10.173
_cell_length_b 7.857
_cell_length_c 8.693
_cell_angle_alpha 109.03
_cell_angle_beta 90.00
_cell_angle_gamma 90.00
loop_
_atom_site_label
_atom_site_fract_x
_atom_site_fract_y
_atom_site_fract_z
Tl1 0.000 0.000 0.500
Tl2 0.500 0.500 0.000
Tl3 0.152 0.571 0.190
Hg1 0.658 0.798 0.903
Hg2 0.164 0.421 0.800
Hg3 0.658 0.207 0.091
Hg4 0.842 0.707 0.591
Tl4 0.848 0.429 0.810
Hg5 0.836 0.579 0.200
Hg6 0.664 0.079 0.700
Cs1 0.000 0.000 0.000
Hg7 0.842 0.298 0.403
Tl5 0.652 0.929 0.310
Hg8 0.158 0.702 0.597
Cs2 0.500 0.500 0.500
Tl6 0.348 0.071 0.690
Hg9 0.158 0.293 0.409
Hg10 0.342 0.202 0.097
Hg11 0.336 0.921 0.300
Hg12 0.342 0.793 0.909
```

***

8.
The following is a DFT calculation (PBE-GGA) of a relaxed CsTl4Hg2 crystal.

Output
Space-group type ... No. 65
Total magnetization ... 0.00 μB per cell
Final energy ... -1.68 eV per atom
Energy above the lowest structure with this stoichiometry ... 0 meV per atom

```
data_CsTl4Hg2
_chemical_formula_sum 'Cs1 Tl4 Hg2'
_space_group_name_H-M_alt 'P 1'
_space_group_IT_number 1
_space_group_name_Hall 'P 1'
_cell_length_a 5.149
_cell_length_b 5.280
_cell_length_c 9.435
_cell_angle_alpha 106.25
_cell_angle_beta 90.00
_cell_angle_gamma 90.00
loop_
_atom_site_label
_atom_site_fract_x
_atom_site_fract_y
_atom_site_fract_z
Hg1 0.500 0.415 0.830
Tl1 0.000 0.693 0.385
Tl2 0.500 0.815 0.630
Tl3 0.500 0.185 0.370
Cs1 0.000 0.000 0.000
Tl4 0.000 0.307 0.615
Hg2 0.500 0.585 0.170
```

***

9.
The following is a DFT calculation (PBE-GGA) of a relaxed CsTl3Hg crystal.

Output
Space-group type ... No. 14
Total magnetization ... 0.00 μB per cell
Final energy ... -1.73 eV per atom
Energy above the lowest structure with this stoichiometry ... 30 meV per atom

```
data_CsTl3Hg
_chemical_formula_sum 'Cs4 Tl12 Hg4'
_space_group_name_H-M_alt 'P 1'
_space_group_IT_number 1
_space_group_name_Hall 'P 1'
_cell_length_a 7.688
_cell_length_b 8.724
_cell_length_c 11.886
_cell_angle_alpha 98.19
_cell_angle_beta 90.00
_cell_angle_gamma 90.00
loop_
_atom_site_label
_atom_site_fract_x
_atom_site_fract_y
_atom_site_fract_z
Hg1 0.602 0.033 0.224
Tl1 0.679 0.248 0.897
Tl2 0.934 0.152 0.096
Tl3 0.343 0.131 0.040
Hg2 0.898 0.033 0.724
Cs1 0.187 0.405 0.834
Hg3 0.102 0.967 0.276
Tl4 0.434 0.848 0.404
Tl5 0.321 0.752 0.103
Cs2 0.813 0.595 0.166
Tl6 0.566 0.152 0.596
Tl7 0.821 0.248 0.397
Cs3 0.687 0.595 0.666
Cs4 0.313 0.405 0.334
Hg4 0.398 0.967 0.776
Tl8 0.179 0.752 0.603
Tl9 0.066 0.848 0.904
Tl10 0.657 0.869 0.960
Tl11 0.843 0.869 0.460
Tl12 0.157 0.131 0.540
```

***

10.
The following is a DFT calculation (PBE-GGA) of a relaxed Cs5Tl2Hg5 crystal.

Output
Space-group type ... No. 12
Total magnetization ... 0.00 μB per cell
Final energy ... -1.04 eV per atom

```
data_Cs5Tl2Hg5
_chemical_formula_sum 'Cs5 Tl2 Hg5'
_space_group_name_H-M_alt 'P 1'
_space_group_IT_number 1
_space_group_name_Hall 'P 1'
_cell_length_a 5.206
_cell_length_b 10.080
_cell_length_c 12.018
_cell_angle_alpha 83.86
_cell_angle_beta 77.49
_cell_angle_gamma 75.03
loop_
_atom_site_label
_atom_site_fract_x
_atom_site_fract_y
_atom_site_fract_z
Hg1 0.305 0.743 0.647
Cs1 0.307 0.299 0.087
Tl1 0.402 0.434 0.762
Hg2 0.941 0.284 0.834
Cs2 0.693 0.701 0.913
Hg3 0.000 0.000 0.000
Cs3 0.000 0.500 0.500
Cs4 0.364 0.943 0.329
Hg4 0.059 0.716 0.166
Tl2 0.598 0.566 0.238
Hg5 0.695 0.257 0.353
Cs5 0.636 0.057 0.671
```

***

11.
The following is a DFT calculation (PBE-GGA) of a relaxed Cs2Tl5Hg3 crystal.

Output
Space-group type ... No. 72
Total magnetization ... 0.00 μB per cell
Final energy ... -1.56 eV per atom

```
data_Cs2Tl5Hg3
_chemical_formula_sum 'Cs4 Tl10 Hg6'
_space_group_name_H-M_alt 'P 1'
_space_group_IT_number 1
_space_group_name_Hall 'P 1'
_cell_length_a 7.696
_cell_length_b 10.679
_cell_length_c 10.679
_cell_angle_alpha 74.00
_cell_angle_beta 68.88
_cell_angle_gamma 68.88
loop_
_atom_site_label
_atom_site_fract_x
_atom_site_fract_y
_atom_site_fract_z
Tl1 0.750 0.500 0.500
Tl2 0.010 0.740 0.740
Cs1 0.124 0.632 0.120
Tl3 0.250 0.500 0.500
Tl4 0.990 0.260 0.260
Tl5 0.375 0.244 0.006
Tl6 0.490 0.260 0.260
Tl7 0.125 0.994 0.756
Hg1 0.378 0.486 0.758
Hg2 0.878 0.758 0.486
Hg3 0.122 0.242 0.514
Cs2 0.876 0.368 0.880
Hg4 0.250 0.000 0.000
Hg5 0.622 0.514 0.242
Tl8 0.510 0.740 0.740
Cs3 0.376 0.880 0.368
Tl9 0.625 0.756 0.994
Tl10 0.875 0.006 0.244
Cs4 0.624 0.120 0.632
Hg6 0.750 0.000 0.000
```

***

12.
The following is a DFT calculation (PBE-GGA) of a relaxed Cs4TlHg5 crystal.

Output
Space-group type ... No. 107
Total magnetization ... 0.00 μB per cell
Final energy ... -0.92 eV per atom

```
data_Cs4TlHg5
_chemical_formula_sum 'Cs4 Tl1 Hg5'
_space_group_name_H-M_alt 'P 1'
_space_group_IT_number 1
_space_group_name_Hall 'P 1'
_cell_length_a 5.886
_cell_length_b 9.447
_cell_length_c 9.447
_cell_angle_alpha 84.43
_cell_angle_beta 71.85
_cell_angle_gamma 71.85
loop_
_atom_site_label
_atom_site_fract_x
_atom_site_fract_y
_atom_site_fract_z
Hg1 0.782 0.381 0.000
Hg2 0.628 0.000 0.000
Cs1 0.744 0.721 0.721
Tl1 0.113 0.000 0.000
Cs2 0.186 0.279 0.279
Hg3 0.162 0.619 0.000
Hg4 0.782 0.000 0.381
Cs3 0.465 0.721 0.279
Hg5 0.162 0.000 0.619
Cs4 0.465 0.279 0.721
```